The following is a DFT calculation (PBE) of a relaxed structure of ZrSn3S.

E_form (uncorrected) = 0.63 eV/atom
ΔE to the lowest computed polymorph = 0.2256 eV per atom

abc: 5.579 5.579 5.579
angles: 90.00 90.00 90.00
Sites, in units of the cell vectors:
Zr  0.000  0.000  0.000
Sn  0.000  0.000  0.500
Sn  0.000  0.500  0.000
Sn  0.500  0.000  0.000
S  0.500  0.500  0.500

The following is a DFT calculation (PBE) of a relaxed structure of Zr4SnS8.

E_form (uncorrected) = -1.32 eV/atom
ΔE to the lowest computed polymorph = 0.0593 eV per atom

abc: 7.689 7.689 7.689
angles: 60.00 60.00 60.00
Sites, in units of the cell vectors:
Zr  0.118  0.118  0.118
Zr  0.118  0.118  0.645
Zr  0.118  0.645  0.118
Zr  0.645  0.118  0.118
Sn  0.500  0.500  0.500
S  0.353  0.882  0.882
S  0.360  0.360  0.360
S  0.360  0.360  0.919
S  0.360  0.919  0.360
S  0.882  0.353  0.882
S  0.882  0.882  0.353
S  0.882  0.882  0.882
S  0.919  0.360  0.360

The following is a DFT calculation (PBE) of a relaxed structure of ZrSnS4.

E_form (uncorrected) = -0.74 eV/atom
ΔE to the lowest computed polymorph = 0.1385 eV per atom

abc: 8.691 8.691 8.057
angles: 106.90 106.90 33.70
Sites, in units of the cell vectors:
Zr  0.203  0.203  0.295
Zr  0.797  0.797  0.705
Sn  0.102  0.102  0.702
Sn  0.898  0.898  0.298
S  0.064  0.064  0.376
S  0.103  0.103  0.011
S  0.259  0.259  0.658
S  0.352  0.352  0.268
S  0.648  0.648  0.732
S  0.741  0.741  0.342
S  0.897  0.897  0.989
S  0.936  0.936  0.624

The following is a DFT calculation (PBE) of a relaxed structure of Zr4SnS.

E_form (uncorrected) = -0.63 eV/atom

abc: 7.736 7.736 6.796
angles: 105.75 105.75 42.89
Sites, in units of the cell vectors:
Zr  0.008  0.821  0.551
Zr  0.179  0.992  0.949
Zr  0.216  0.419  0.858
Zr  0.419  0.216  0.358
Zr  0.581  0.784  0.642
Zr  0.784  0.581  0.142
Zr  0.821  0.008  0.051
Zr  0.992  0.179  0.449
Sn  0.388  0.612  0.250
Sn  0.612  0.388  0.750
S  0.000  0.500  0.500
S  0.500  0.000  0.000

The following is a DFT calculation (PBE) of a relaxed structure of Zr2Sn2S7.

E_form (uncorrected) = -0.88 eV/atom

abc: 8.790 8.790 8.790
angles: 155.45 62.55 123.46
Sites, in units of the cell vectors:
Zr  0.000  0.000  0.000
Zr  0.546  0.046  0.500
Sn  0.493  0.723  0.769
Sn  0.954  0.723  0.231
S  0.207  0.707  0.500
S  0.257  0.072  0.184
S  0.371  0.487  0.884
S  0.603  0.487  0.116
S  0.726  0.317  0.409
S  0.888  0.072  0.816
S  0.907  0.317  0.591

The following is a DFT calculation (PBE) of a relaxed structure of SrS2.

E_form (uncorrected) = -1.35 eV/atom

abc: 4.728 4.728 5.243
angles: 123.55 123.55 75.12
Sites, in units of the cell vectors:
Sr  0.000  0.000  0.000
S  0.499  0.499  0.797
S  0.501  0.501  0.203